No. 1
Material: Ba2Al7Cu
Method: DFT, PBE-GGA
State: optimized geometry

Geometry as POSCAR:
```
Ba2Al7Cu
1.0
4.5113 0.0000 0.0000
0.0000 4.5113 0.0000
0.0000 0.0000 11.3460
Ba Al Cu
2 7 1
Direct
0.0000 0.5000 0.2476
0.5000 0.0000 0.7524
0.0000 0.0000 0.0000
0.0000 0.0000 0.5000
0.0000 0.5000 0.6357
0.0000 0.5000 0.8779
0.5000 0.0000 0.1221
0.5000 0.0000 0.3644
0.5000 0.5000 0.5000
0.5000 0.5000 0.0000
```

Calculated values
The crystal system is tetragonal. The energy relative to the elements comes out at -0.2121 eV per atom. As for the density of states at the Fermi level: 3.68 states/eV per cell. For the calculated density, the calculation gives 3.8 g/cm3.



No. 2
Material: BaAl2Cu2
Method: DFT, PBE-GGA
State: optimized geometry

Geometry as POSCAR:
```
BaAl2Cu2
1.0
8.1758 0.0000 0.0000
0.0000 8.1758 0.0000
0.0000 0.0000 2.9152
Ba Al Cu
2 4 4
Direct
0.0000 0.0000 0.0000
0.5000 0.5000 0.0000
0.1218 0.3782 0.0000
0.3782 0.8782 0.0000
0.6218 0.1218 0.0000
0.8782 0.6218 0.0000
0.1569 0.6569 0.5000
0.3431 0.1569 0.5000
0.6569 0.8431 0.5000
0.8431 0.3431 0.5000
```

Calculated values
The crystal system is tetragonal. The energy relative to the elements comes out at 0.1354 eV per atom. As for the density of states at the Fermi level: 5.92 states/eV per cell. For the calculated density, the calculation gives 5.4 g/cm3.



No. 3
Material: BaAl2Cu
Method: DFT, PBE-GGA
State: optimized geometry

Geometry as POSCAR:
```
BaAl2Cu
1.0
-2.6543 2.6543 8.1665
2.6543 -2.6543 8.1665
2.6543 2.6543 -8.1665
Ba Al Cu
2 4 2
Direct
0.3750 0.6250 0.7500
0.6250 0.3750 0.2500
0.0000 0.0000 0.0000
0.0000 0.0000 0.5000
0.0000 0.5000 0.0000
0.5000 0.0000 0.5000
0.1250 0.8750 0.2500
0.8750 0.1250 0.7500
```

Calculated values
The crystal system is tetragonal. The energy relative to the elements comes out at -0.0114 eV per atom. As for the density of states at the Fermi level: 5.41 states/eV per cell. For the calculated density, the calculation gives 3.7 g/cm3.



No. 4
Material: BaAl2Cu
Method: DFT, PBE-GGA
State: optimized geometry

Geometry as POSCAR:
```
BaAl2Cu
1.0
3.7237 -3.7376 0.0000
3.7237 3.7376 0.0000
-2.7686 0.0000 3.6718
Ba Al Cu
1 2 1
Direct
0.0000 0.0000 0.0000
0.3136 0.6864 0.5000
0.5232 0.4768 0.0000
0.6588 0.3412 0.5000
```

Calculated values
The crystal system is monoclinic. The energy relative to the elements comes out at 0.0975 eV per atom. As for the density of states at the Fermi level: 2.59 states/eV per cell. For the calculated density, the calculation gives 4.1 g/cm3.